(1)
In7Ni: relaxed, PBE.

Cell: 6.494 6.494 6.494 Å, 60.00 60.00 60.00°
Element x y z (fractional)
1 In 0.000 0.000 0.000
2 In 0.000 0.000 0.500
3 In 0.000 0.500 0.000
4 In 0.000 0.500 0.500
5 In 0.500 0.000 0.000
6 In 0.500 0.000 0.500
7 In 0.500 0.500 0.000
8 Ni 0.500 0.500 0.500

(2)
In2Ni: relaxed, PBE.

Cell: 4.533 4.533 6.675 Å, 90.00 90.00 120.00°
Element x y z (fractional)
1 In 0.000 0.000 0.000
2 In 0.000 0.000 0.500
3 In 0.333 0.667 0.250
4 In 0.667 0.333 0.750
5 Ni 0.333 0.667 0.750
6 Ni 0.667 0.333 0.250

Number 1: energy relative to the elements 166 meV/atom. Number 2: energy relative to the elements 155 meV/atom.